BeAu | PBE | optimized geometry

Cell lengths 8.082, 8.082, 8.082 Å; angles 20.46, 20.46, 20.46 degrees
Atoms (fractional coordinates):
Be 0.132 0.132 0.132
Be 0.868 0.868 0.868
Au 0.388 0.388 0.388
Au 0.612 0.612 0.612

## Properties
- DFT formation energy: 0.195 eV per atom
- Calculated volume: 14.1 Å³ per atom
- Calculated total energy: -13.2 eV for the cell shown
- Magnetization: 0.0 μB per formula unit
- Space group: No. 166
- Crystal system: trigonal